Entry 1:
# PBE-GGA Sr2CaMo, relaxed
# Crystal system: tetragonal
# Energy above the lowest structure with this stoichiometry (meV per atom): 289
# Space-group type: I-42d (122)
# Fermi-level density of states (states/eV/atom): 1.056
# Energy (eV/atom): -3.076
data_Sr2CaMo
_chemical_formula_sum 'Sr4 Ca2 Mo2'
_cell_length_a 7.5174
_cell_length_b 7.5174
_cell_length_c 7.5174
_cell_angle_alpha 102.26
_cell_angle_beta 102.26
_cell_angle_gamma 125.12
_space_group_name_H-M_alt 'P 1'
_space_group_IT_number 1
loop_
_space_group_symop_operation_xyz
'x,y,z'
loop_
_atom_site_label
_atom_site_fract_x
_atom_site_fract_y
_atom_site_fract_z
Sr1 0.0752 0.6250 0.9502
Sr2 0.3750 0.3252 0.4502
Sr3 0.6748 0.1250 0.0498
Sr4 0.8750 0.9248 0.5498
Ca1 0.2500 0.7500 0.5000
Ca2 0.5000 0.5000 0.0000
Mo1 0.0000 0.0000 0.0000
Mo2 0.7500 0.2500 0.5000

=====

Entry 2:
# PBE-GGA Sr2CaMo, relaxed
# Crystal system: tetragonal
# Energy above the lowest structure with this stoichiometry (meV per atom): 0
# Space-group type: P4mm (99)
# Fermi-level density of states (states/eV/atom): 0.899
# Energy (eV/atom): -3.365
data_Sr2CaMo
_chemical_formula_sum 'Sr2 Ca1 Mo1'
_cell_length_a 3.8588
_cell_length_b 3.8588
_cell_length_c 9.9414
_cell_angle_alpha 90.00
_cell_angle_beta 90.00
_cell_angle_gamma 90.00
_space_group_name_H-M_alt 'P 1'
_space_group_IT_number 1
loop_
_space_group_symop_operation_xyz
'x,y,z'
loop_
_atom_site_label
_atom_site_fract_x
_atom_site_fract_y
_atom_site_fract_z
Sr1 0.0000 0.0000 0.0000
Sr2 0.5000 0.5000 0.3364
Ca1 0.0000 0.0000 0.6352
Mo1 0.5000 0.5000 0.8001